(1)
{"formula": "KTa2Hg", "functional": "GGA-PBE", "state": "relaxed", "lattice": [[4.0806, 0.0000, 0.0000], [0.0000, 4.0806, 0.0000], [0.0000, 0.0000, 5.5108]], "species": ["K", "Ta", "Ta", "Hg"], "fractional_positions": [[0.0000, 0.0000, 0.0000], [0.0000, 0.5000, 0.5000], [0.5000, 0.0000, 0.5000], [0.5000, 0.5000, 0.0000]], "n_ef_per_ev_cell": 4.9, "sg": "P4/mmm, No. 123", "ef_ev_per_atom": 1.27}

(2)
{"formula": "K2Cd2Ag", "functional": "GGA-PBE", "state": "relaxed", "lattice": [[7.6178, 0.0000, 0.0000], [0.0000, 7.6178, 0.0000], [0.0000, 0.0000, 5.7351]], "species": ["K", "K", "K", "K", "Cd", "Cd", "Cd", "Cd", "Ag", "Ag"], "fractional_positions": [[0.1793, 0.3207, 0.0000], [0.3207, 0.8207, 0.0000], [0.6793, 0.1793, 0.0000], [0.8207, 0.6793, 0.0000], [0.1389, 0.6389, 0.5000], [0.3611, 0.1389, 0.5000], [0.6389, 0.8611, 0.5000], [0.8611, 0.3611, 0.5000], [0.0000, 0.0000, 0.5000], [0.5000, 0.5000, 0.5000]], "n_ef_per_ev_cell": 4.6, "sg": "P4/mbm, No. 127", "ef_ev_per_atom": 0.00, "relative_energy_ev_per_atom": 0.053}